[1]
Nb2Fe2W | PBE-GGA | optimized geometry

Unit cell a=6.234 b=6.234 c=3.897 alpha=90.00 beta=90.00 gamma=90.00
Element x y z (fractional)
Nb  0.178  0.322  0.000
Nb  0.322  0.822  0.000
Nb  0.678  0.178  0.000
Nb  0.822  0.678  0.000
Fe  0.128  0.628  0.500
Fe  0.372  0.128  0.500
Fe  0.628  0.872  0.500
Fe  0.872  0.372  0.500
W  0.000  0.000  0.500
W  0.500  0.500  0.500

Calculated values
**Density**: 10.553 g/cm3
**VASP energy**: -9.867 eV/atom
**Total magnetization**: 0.00 μB/cell
**Formation energy**: 0.1367 eV/atom

=====

[2]
CaTm2Os | PBE-GGA | optimized geometry

Unit cell a=9.093 b=9.093 c=9.093 alpha=25.91 beta=25.91 gamma=25.91
Element x y z (fractional)
Ca  0.000  0.000  0.000
Tm  0.218  0.218  0.218
Tm  0.782  0.782  0.782
Os  0.500  0.500  0.500

Calculated values
**Density**: 7.460 g/cm3
**VASP energy**: -5.515 eV/atom
**Total magnetization**: 0.00 μB/cell
**Formation energy**: 0.0285 eV/atom